# 1
Computed, not measured: a geometry-optimized Gd3TmB2Pb2 structure at the GGA-PBE level of DFT.

Properties
DFT total energy (eV per atom): -5.08
Total magnetic moment (μB/cell): 0.78
Space-group type: P3m1, No. 156
Calculated volume (A^3/atom): 25.030

Unit cell a=3.707 b=3.707 c=16.828 alpha=90.00 beta=90.00 gamma=120.00
Last column: magnetic moment on the atom in μB.
Atoms (fractional coordinates):
B 0.333 0.667 0.501  0.02
B 0.333 0.667 0.997  0.21
Gd 0.667 0.333 0.086  0.14
Gd 0.667 0.333 0.409  0.01
Gd 0.000 0.000 0.592  0.01
Pb 0.000 0.000 0.249  0.00
Pb 0.667 0.333 0.754  0.00
Tm 0.000 0.000 0.911  0.17

***

# 2
Computed, not measured: a geometry-optimized Zr2Ta2C3 structure at the GGA-PBE level of DFT.

Properties
DFT total energy (eV per atom): -10.51
Total magnetic moment (μB/cell): 0.02
Space-group type: C2/m, No. 12
Calculated volume (A^3/atom): 13.767

Unit cell a=5.733 b=5.733 c=5.540 alpha=103.73 beta=103.73 gamma=33.11
Atoms (fractional coordinates):
C 0.251 0.251 0.244
C 0.000 0.000 0.500
C 0.749 0.749 0.756
Ta 0.860 0.860 0.147
Ta 0.140 0.140 0.853
Zr 0.619 0.619 0.359
Zr 0.381 0.381 0.641

***

# 3
Computed, not measured: a geometry-optimized Cd2Sb2O7 structure at the GGA-PBE level of DFT.

Properties
DFT total energy (eV per atom): -5.41
Space-group type: Fd-3m, No. 227
Calculated volume (A^3/atom): 12.499

Unit cell a=7.299 b=7.299 c=7.299 alpha=120.00 beta=90.00 gamma=120.00
Atoms (fractional coordinates):
Cd 0.000 0.500 0.000
Cd 0.500 0.000 0.500
Cd 0.000 0.500 0.500
Cd 0.000 0.000 0.500
O 0.425 0.750 0.075
O 0.825 0.750 0.075
O 0.825 0.149 0.075
O 0.575 0.649 0.325
O 0.575 0.250 0.325
O 0.175 0.250 0.325
O 0.125 0.750 0.375
O 0.875 0.250 0.625
O 0.825 0.750 0.675
O 0.425 0.750 0.675
O 0.425 0.351 0.675
O 0.175 0.250 0.925
O 0.575 0.250 0.925
O 0.175 0.851 0.925
Sb 0.000 0.000 0.000
Sb 0.500 0.000 0.000
Sb 0.500 0.500 0.000
Sb 0.500 0.500 0.500

***

# 4
Computed, not measured: a geometry-optimized Te2WSeSBr structure at the GGA-PBE level of DFT.

Properties
Energy above the lowest structure with this stoichiometry (eV per formula unit): 0.63
Total magnetic moment (μB/cell): 0.00
Space-group type: P-1, No. 2
Calculated volume (A^3/atom): 31.076

Unit cell a=6.611 b=8.245 c=8.477 alpha=112.39 beta=96.32 gamma=113.43
Atoms (fractional coordinates):
Br 0.337 0.605 0.256
Br 0.663 0.395 0.744
S 0.653 0.260 0.167
S 0.347 0.740 0.833
Se 0.900 0.776 0.082
Se 0.100 0.224 0.918
Te 0.535 0.996 0.257
Te 0.126 0.168 0.312
Te 0.874 0.832 0.688
Te 0.465 0.004 0.743
W 0.225 0.000 0.001
W 0.775 0.000 0.999

***

# 5
Computed, not measured: a geometry-optimized SmTcNO structure at the GGA-PBE level of DFT.

Properties
Energy above the lowest structure with this stoichiometry (eV per formula unit): 0.96
Total magnetic moment (μB/cell): 0.00
Space-group type: Pmc2_1, No. 26
Calculated volume (A^3/atom): 13.175

Unit cell a=3.816 b=5.125 c=5.389 alpha=90.00 beta=90.00 gamma=90.00
Atoms (fractional coordinates):
N 0.000 0.499 0.331
N 0.000 0.999 0.669
O 0.500 0.755 0.003
O 0.500 0.255 0.997
Sm 0.000 0.000 0.207
Sm 0.000 0.500 0.793
Tc 0.500 0.500 0.329
Tc 0.500 0.000 0.671